[1]
Compound: CsErCoTe3
Source: OQMD
Functional: PBE
Structure: relaxed

Its energy above the most stable polymorph in this dataset is 57.0 kJ/mol of formula units. The calculation puts the magnetic moment at 11.07 μB/cell.

It has space group Pnma (No. 62), with a = 11.482 Å, b = 4.419 Å, c = 16.002 Å, α = 90.00°, β = 90.00° and γ = 90.00°. Symmetry generates all atoms from Cs at (0.035, 0.250, 0.160), Er at (0.147, 0.750, 0.439), Co at (0.148, 0.250, 0.627), Te at (0.031, 0.750, 0.613), Te at (0.201, 0.750, 0.006) and Te at (0.233, 0.250, 0.772).

=====

[2]
Compound: YZnInSe3
Source: OQMD
Functional: PBE
Structure: relaxed

Its energy above the most stable polymorph in this dataset is 31.7 kJ/mol of formula units. The calculation puts the magnetic moment at 0.02 μB/cell.

It has space group Pnma (No. 62), with a = 11.687 Å, b = 4.253 Å, c = 12.378 Å, α = 90.00°, β = 90.00° and γ = 90.00°. Symmetry generates all atoms from Y at (0.020, 0.250, 0.179), Zn at (0.247, 0.750, 0.302), In at (0.171, 0.250, 0.504), Se at (0.040, 0.750, 0.341), Se at (0.098, 0.250, 0.937) and Se at (0.226, 0.750, 0.693).

=====

Number 1: volume 812 Å³/cell. Number 2: volume 615 Å³/cell.